1.
! NaPN (GGA-PBE, optimized geometry); values from VASP
&SYSTEM
  ibrav = 0, nat = 6, ntyp = 3
/
ATOMIC_SPECIES
Na 22.99 Na.upf
P 30.97 P.upf
N 14.01 N.upf
ATOMIC_POSITIONS crystal
Na 0.243 0.250 0.360
Na 0.757 0.750 0.640
P 0.268 0.250 0.923
P 0.732 0.750 0.077
N 0.261 0.250 0.705
N 0.739 0.750 0.295
CELL_PARAMETERS angstrom
3.514 0.000 0.000
0.000 3.509 0.000
-0.186 0.000 7.181
! * energy above the most stable polymorph in this dataset: 0.000 eV per atom

2.
! Nd2Ho6Tm3Pb (GGA-PBE, optimized geometry); values from VASP
&SYSTEM
  ibrav = 0, nat = 12, ntyp = 4
/
ATOMIC_SPECIES
Nd 144.24 Nd.upf
Ho 164.93 Ho.upf
Tm 168.93 Tm.upf
Pb 207.20 Pb.upf
ATOMIC_POSITIONS crystal
Nd 0.166 0.834 0.000
Nd 0.834 0.166 0.000
Ho 0.089 0.417 0.747
Ho 0.256 0.256 0.254
Ho 0.417 0.089 0.747
Ho 0.583 0.911 0.253
Ho 0.744 0.744 0.746
Ho 0.911 0.583 0.253
Tm 0.000 0.000 0.500
Tm 0.333 0.667 0.500
Tm 0.667 0.333 0.500
Pb 0.500 0.500 0.000
CELL_PARAMETERS angstrom
3.035 -5.258 0.000
3.035 5.258 0.000
-2.030 0.000 11.533
! * ΔE_f: -73 kJ/mol of formula units

3.
! PrSm4Cu5 (GGA-PBE, optimized geometry); values from VASP
&SYSTEM
  ibrav = 0, nat = 10, ntyp = 3
/
ATOMIC_SPECIES
Pr 140.91 Pr.upf
Sm 150.36 Sm.upf
Cu 63.55 Cu.upf
ATOMIC_POSITIONS crystal
Pr 0.000 0.000 0.000
Sm 0.000 0.000 0.202
Sm 0.000 0.000 0.401
Sm 0.000 0.000 0.599
Sm 0.000 0.000 0.798
Cu 0.500 0.500 0.106
Cu 0.500 0.500 0.301
Cu 0.500 0.500 0.500
Cu 0.500 0.500 0.699
Cu 0.500 0.500 0.894
CELL_PARAMETERS angstrom
3.546 0.000 0.000
0.000 3.546 0.000
0.000 0.000 17.943
! * ΔE_f: -162 kJ/mol of formula units

4.
! BeI4 (GGA-PBE, optimized geometry); values from VASP
&SYSTEM
  ibrav = 0, nat = 5, ntyp = 2
/
ATOMIC_SPECIES
Be 9.01 Be.upf
I 126.90 I.upf
ATOMIC_POSITIONS crystal
Be 0.000 0.000 0.000
I 0.000 0.000 0.500
I 0.000 0.500 0.000
I 0.500 0.000 0.000
I 0.500 0.500 0.500
CELL_PARAMETERS angstrom
5.368 0.000 0.000
0.000 5.368 0.000
0.000 0.000 5.368
! * uncorrected energy: -1.770 eV/atom

5.
! TmPu2Hg3 (GGA-PBE, optimized geometry); values from VASP
&SYSTEM
  ibrav = 0, nat = 6, ntyp = 3
/
ATOMIC_SPECIES
Tm 168.93 Tm.upf
Pu 244.00 Pu.upf
Hg 200.59 Hg.upf
ATOMIC_POSITIONS crystal
Tm 0.000 0.000 0.000
Pu 0.000 0.000 0.328
Pu 0.000 0.000 0.672
Hg 0.500 0.500 0.153
Hg 0.500 0.500 0.500
Hg 0.500 0.500 0.847
CELL_PARAMETERS angstrom
3.627 0.000 0.000
0.000 3.627 0.000
0.000 0.000 11.807
! * ΔE_f: -127 kJ/mol of formula units

6.
! NaSiGe2Pt (GGA-PBE, optimized geometry); values from VASP
&SYSTEM
  ibrav = 0, nat = 5, ntyp = 4
/
ATOMIC_SPECIES
Na 22.99 Na.upf
Si 28.09 Si.upf
Ge 72.64 Ge.upf
Pt 195.08 Pt.upf
ATOMIC_POSITIONS crystal
Na 0.000 0.000 0.000
Si 0.500 0.500 0.500
Ge 0.000 0.500 0.000
Ge 0.500 0.000 0.000
Pt 0.000 0.000 0.500
CELL_PARAMETERS angstrom
4.855 0.000 0.000
0.000 4.855 0.000
0.000 0.000 4.782
! * uncorrected energy: -3.115 eV/atom

7.
! Sr3Sn2Hg8 (GGA-PBE, optimized geometry); values from VASP
&SYSTEM
  ibrav = 0, nat = 13, ntyp = 3
/
ATOMIC_SPECIES
Sr 87.62 Sr.upf
Sn 118.71 Sn.upf
Hg 200.59 Hg.upf
ATOMIC_POSITIONS crystal
Sr 0.000 0.000 0.000
Sr 0.232 0.232 0.232
Sr 0.768 0.768 0.768
Sn 0.401 0.401 0.401
Sn 0.599 0.599 0.599
Hg 0.182 0.709 0.709
Hg 0.291 0.291 0.818
Hg 0.291 0.818 0.291
Hg 0.320 0.320 0.320
Hg 0.680 0.680 0.680
Hg 0.709 0.182 0.709
Hg 0.709 0.709 0.182
Hg 0.818 0.291 0.291
CELL_PARAMETERS angstrom
3.155 1.821 11.959
-3.155 1.821 11.959
0.000 -3.643 11.959
! * ΔE_f: -290 kJ/mol of formula units

8.
! Ba2PaGe3O12 (GGA-PBE, optimized geometry); values from VASP
&SYSTEM
  ibrav = 0, nat = 18, ntyp = 4
/
ATOMIC_SPECIES
Ba 137.33 Ba.upf
Pa 231.04 Pa.upf
Ge 72.64 Ge.upf
O 16.00 O.upf
ATOMIC_POSITIONS crystal
Ba 0.108 0.108 0.108
Ba 0.892 0.892 0.892
Pa 0.500 0.500 0.500
Ge 0.000 0.500 0.500
Ge 0.500 0.000 0.500
Ge 0.500 0.500 0.000
O 0.107 0.621 0.621
O 0.217 0.217 0.608
O 0.217 0.608 0.217
O 0.379 0.379 0.893
O 0.379 0.893 0.379
O 0.392 0.783 0.783
O 0.608 0.217 0.217
O 0.621 0.107 0.621
O 0.621 0.621 0.107
O 0.783 0.392 0.783
O 0.783 0.783 0.392
O 0.893 0.379 0.379
CELL_PARAMETERS angstrom
3.563 2.057 5.507
-3.563 2.057 5.507
0.000 -4.114 5.507
! * uncorrected energy: -6.806 eV/atom

9.
! Rb2CI2 (GGA-PBE, optimized geometry); values from VASP
&SYSTEM
  ibrav = 0, nat = 10, ntyp = 3
/
ATOMIC_SPECIES
Rb 85.47 Rb.upf
C 12.01 C.upf
I 126.90 I.upf
ATOMIC_POSITIONS crystal
Rb 0.149 0.351 0.000
Rb 0.351 0.851 0.000
Rb 0.649 0.149 0.000
Rb 0.851 0.649 0.000
C 0.000 0.000 0.000
C 0.500 0.500 0.000
I 0.157 0.657 0.500
I 0.343 0.157 0.500
I 0.657 0.843 0.500
I 0.843 0.343 0.500
CELL_PARAMETERS angstrom
9.668 0.000 0.000
0.000 9.668 0.000
0.000 0.000 4.827
! * energy above the most stable polymorph in this dataset: 0.000 eV per atom

10.
! NaPaSb2Se6 (GGA-PBE, optimized geometry); values from VASP
&SYSTEM
  ibrav = 0, nat = 10, ntyp = 4
/
ATOMIC_SPECIES
Na 22.99 Na.upf
Pa 231.04 Pa.upf
Sb 121.76 Sb.upf
Se 78.96 Se.upf
ATOMIC_POSITIONS crystal
Na 0.000 0.000 0.000
Pa 0.029 0.515 0.542
Sb 0.371 0.187 0.557
Sb 0.381 0.690 0.074
Se 0.185 0.784 0.322
Se 0.221 0.902 0.817
Se 0.499 0.597 0.815
Se 0.539 0.401 0.323
Se 0.916 0.319 0.817
Se 0.922 0.137 0.323
CELL_PARAMETERS angstrom
7.343 0.000 0.000
-3.666 6.380 0.000
-3.651 -2.120 6.589
! * uncorrected energy: -4.744 eV/atom

11.
! KTaTl2 (GGA-PBE, optimized geometry); values from VASP
&SYSTEM
  ibrav = 0, nat = 4, ntyp = 3
/
ATOMIC_SPECIES
K 39.10 K.upf
Ta 180.95 Ta.upf
Tl 204.38 Tl.upf
ATOMIC_POSITIONS crystal
K 0.000 0.000 0.000
Ta 0.856 0.500 0.501
Tl 0.486 0.000 0.500
Tl 0.486 0.500 0.001
CELL_PARAMETERS angstrom
3.159 0.000 0.000
0.000 5.623 0.000
0.000 0.000 5.624
! * ΔE_f: 239 kJ/mol of formula units
! * energy above the most stable polymorph in this dataset: 0.200 eV per atom

12.
! K2LiRh (GGA-PBE, optimized geometry); values from VASP
&SYSTEM
  ibrav = 0, nat = 4, ntyp = 3
/
ATOMIC_SPECIES
K 39.10 K.upf
Li 6.94 Li.upf
Rh 102.91 Rh.upf
ATOMIC_POSITIONS crystal
K 0.000 0.500 0.000
K 0.500 0.000 0.000
Li 0.000 0.000 0.500
Rh 0.500 0.500 0.500
CELL_PARAMETERS angstrom
3.178 -5.145 0.000
3.178 5.145 0.000
-0.085 0.000 3.371
! * ΔE_f: 238 kJ/mol of formula units

Q: Which formula does entry 4 have?
A: BeI4